Compound: Mn2ReS
Source: Alexandria via LeMat-Bulk
Functional: PBE
Structure: relaxed Values from VASP.

```
&SYSTEM
  ibrav = 0, nat = 8, ntyp = 3
/
ATOMIC_SPECIES
Mn 54.94 Mn.upf
Re 186.21 Re.upf
S 32.06 S.upf
ATOMIC_POSITIONS angstrom
Mn 3.901 1.173 -1.250
Mn 1.173 1.300 1.250
Mn -1.300 1.428 3.751
Mn 1.428 1.300 6.252
Re 2.600 0.000 2.501
Re 0.000 0.000 5.002
S 0.000 0.000 0.000
S 0.000 2.600 2.501
CELL_PARAMETERS angstrom
-2.600 2.600 5.002
2.600 -2.600 5.002
2.600 2.600 -5.002
```

Properties
Total moment in μB/cell: 0.0
Raw formation energy in kJ/mol of formula units: 220
Fermi-level density of states in states/eV per cell: 7.48
SG: I-42d, No. 122
Total DFT energy (no corrections) in Ry per atom: -0.600



Compound: NdY2C3
Source: Alexandria via LeMat-Bulk
Functional: PBE
Structure: relaxed Values from VASP.

```
&SYSTEM
  ibrav = 0, nat = 12, ntyp = 3
/
ATOMIC_SPECIES
Nd 144.24 Nd.upf
Y 88.91 Y.upf
C 12.01 C.upf
ATOMIC_POSITIONS angstrom
Nd 0.000 2.631 0.310
Nd 2.866 2.631 3.464
Y 2.866 -0.832 1.252
Y 2.866 4.430 -1.252
Y 0.000 0.832 5.025
Y 0.000 6.094 2.522
C 1.433 2.631 -1.887
C 0.681 0.000 0.000
C 1.433 -2.631 1.887
C 5.051 0.000 0.000
C 0.681 5.262 0.000
C 2.185 0.000 3.773
CELL_PARAMETERS angstrom
-2.866 5.262 3.773
2.866 -5.262 3.773
2.866 5.262 -3.773
```

Properties
Total moment in μB/cell: 0.0
Fermi-level density of states in states/eV per cell: 6.70
SG: Imma, No. 74
Total DFT energy (no corrections) in Ry per atom: -0.559
ΔE_f in eV/f.u.: -0.276



Compound: Er2U3O11
Source: Alexandria via LeMat-Bulk
Functional: PBE
Structure: relaxed Values from VASP.

```
&SYSTEM
  ibrav = 0, nat = 16, ntyp = 3
/
ATOMIC_SPECIES
Er 167.26 Er.upf
U 238.03 U.upf
O 16.00 O.upf
ATOMIC_POSITIONS angstrom
Er 0.000 0.000 3.793
Er 0.000 0.000 14.888
U 0.000 0.000 0.000
U 0.000 0.000 7.489
U 0.000 0.000 11.192
O 1.888 1.414 -3.619
O 1.888 -1.422 7.441
O 1.888 1.190 0.000
O 0.000 1.284 1.899
O 1.888 1.414 3.619
O 0.000 2.705 0.000
O 0.000 1.292 5.722
O 1.888 1.422 7.441
O 0.000 1.516 9.341
O 0.000 4.127 1.899
O 0.000 1.292 12.960
CELL_PARAMETERS angstrom
-1.888 2.705 9.341
1.888 -2.705 9.341
1.888 2.705 -9.341
```

Properties
Total moment in μB/cell: 2.0
Raw formation energy in kJ/mol of formula units: -4895
Fermi-level density of states in states/eV per cell: 10.54
SG: Immm, No. 71
Total DFT energy (no corrections) in Ry per atom: -0.681